[1]
Material: ZnFeF2
Method: DFT, GGA+U
State: relaxed

Summary:
SG = Fm-3m
Calculated total energy = -3.669 eV per atom
Density = 5.47 Mg/m³
Polymorph energy (0 for the lowest one) = 1.822 eV/f.u.

Cell lengths 4.088, 4.088, 4.088 Å; angles 60.00, 60.00, 60.00 degrees
Fractional coordinates of all 4 atoms:
Zn 0.000 0.000 0.000
Fe 0.500 0.500 0.500
F 0.250 0.250 0.250
F 0.750 0.750 0.750



[2]
Material: ZnFeF2
Method: DFT, GGA+U
State: relaxed

Summary:
SG = I-42d
Calculated total energy = -4.125 eV per atom
Density = 2.86 Mg/m³
Polymorph energy (0 for the lowest one) = 0.000 eV/f.u.

Cell lengths 6.608, 6.608, 6.608 Å; angles 125.44, 125.44, 80.81 degrees
Fractional coordinates of all 8 atoms:
Zn 0.000 0.000 0.000
Zn 0.750 0.250 0.500
Fe 0.250 0.750 0.500
Fe 0.500 0.500 0.000
F 0.345 0.625 0.220
F 0.375 0.595 0.720
F 0.405 0.125 0.780
F 0.875 0.655 0.280



[3]
Material: ZnFeF3
Method: DFT, GGA+U
State: relaxed

Summary:
SG = Pm-3m
Calculated total energy = -4.054 eV per atom
Density = 4.47 Mg/m³
Polymorph energy (0 for the lowest one) = 0.301 eV/f.u.

Cell lengths 4.044, 4.044, 4.044 Å; angles 90.00, 90.00, 90.00 degrees
Fractional coordinates of all 5 atoms:
Zn 0.000 0.000 0.000
Fe 0.500 0.500 0.500
F 0.000 0.000 0.500
F 0.000 0.500 0.000
F 0.500 0.000 0.000



[4]
Material: ZnFeF4
Method: DFT, GGA+U
State: relaxed

Summary:
SG = Cmmm
Calculated total energy = -4.788 eV per atom
Density = 4.38 Mg/m³
Polymorph energy (0 for the lowest one) = 0.000 eV/f.u.

Cell lengths 4.796, 4.796, 3.252 Å; angles 90.00, 90.00, 90.09 degrees
Fractional coordinates of all 6 atoms:
Zn 0.000 0.000 0.000
Fe 0.500 0.500 0.500
F 0.197 0.803 0.500
F 0.299 0.299 0.000
F 0.701 0.701 0.000
F 0.803 0.197 0.500



[5]
Material: ZnFe2F6
Method: DFT, GGA+U
State: relaxed

Summary:
SG = P2_1/c
Calculated total energy = -5.023 eV per atom
Density = 4.07 Mg/m³
Polymorph energy (0 for the lowest one) = 0.308 eV/f.u.

Cell lengths 5.520, 4.825, 10.390 Å; angles 90.00, 120.79, 90.00 degrees
Fractional coordinates of all 18 atoms:
Zn 0.000 0.000 0.000
Zn 0.000 0.500 0.500
Fe 0.316 0.001 0.815
Fe 0.316 0.499 0.315
Fe 0.684 0.501 0.685
Fe 0.684 0.999 0.185
F 0.004 0.228 0.168
F 0.004 0.272 0.668
F 0.324 0.198 0.996
F 0.324 0.302 0.496
F 0.335 0.729 0.671
F 0.335 0.771 0.171
F 0.665 0.229 0.829
F 0.665 0.271 0.329
F 0.676 0.698 0.504
F 0.676 0.802 0.004
F 0.996 0.728 0.332
F 0.996 0.772 0.832



[6]
Material: ZnFe2F
Method: DFT, GGA+U
State: relaxed

Summary:
SG = I-42d
Calculated total energy = -3.726 eV per atom
Density = 5.34 Mg/m³
Polymorph energy (0 for the lowest one) = 0.000 eV/f.u.

Cell lengths 5.428, 5.428, 5.428 Å; angles 106.40, 106.40, 115.81 degrees
Fractional coordinates of all 8 atoms:
Zn 0.000 0.000 0.000
Zn 0.750 0.250 0.500
Fe 0.173 0.625 0.048
Fe 0.375 0.423 0.548
Fe 0.577 0.125 0.952
Fe 0.875 0.827 0.452
F 0.250 0.750 0.500
F 0.500 0.500 0.000



[7]
Material: Zn2FeF6
Method: DFT, GGA+U
State: relaxed

Summary:
SG = R3
Calculated total energy = -4.341 eV per atom
Density = 4.17 Mg/m³

Cell lengths 5.706, 5.706, 5.706 Å; angles 56.20, 56.20, 56.20 degrees
Fractional coordinates of all 9 atoms:
Zn 0.000 0.000 0.000
Zn 0.200 0.200 0.200
Fe 0.695 0.695 0.695
F 0.057 0.838 0.407
F 0.286 0.596 0.943
F 0.407 0.057 0.838
F 0.596 0.943 0.286
F 0.838 0.407 0.057
F 0.943 0.286 0.596



[8]
Material: Zn3FeF
Method: DFT, GGA+U
State: relaxed

Summary:
SG = Pm-3m
Calculated total energy = -2.057 eV per atom
Density = 3.98 Mg/m³
Polymorph energy (0 for the lowest one) = 0.060 eV/f.u.

Cell lengths 4.834, 4.834, 4.834 Å; angles 90.00, 90.00, 90.00 degrees
Fractional coordinates of all 5 atoms:
Zn 0.000 0.000 0.500
Zn 0.000 0.500 0.000
Zn 0.500 0.000 0.000
Fe 0.000 0.000 0.000
F 0.500 0.500 0.500



[9]
Material: ZnFe4F12
Method: DFT, GGA+U
State: relaxed

Summary:
SG = C2/m
Calculated total energy = -5.110 eV per atom
Density = 3.66 Mg/m³

Cell lengths 6.577, 6.577, 7.509 Å; angles 121.74, 121.74, 72.11 degrees
Fractional coordinates of all 17 atoms:
Zn 0.000 0.000 0.000
Fe 0.000 0.500 0.000
Fe 0.000 0.500 0.500
Fe 0.500 0.000 0.000
Fe 0.500 0.000 0.500
F 0.001 0.392 0.694
F 0.181 0.774 0.796
F 0.226 0.226 0.077
F 0.226 0.819 0.204
F 0.300 0.300 0.508
F 0.392 0.001 0.694
F 0.608 0.999 0.306
F 0.700 0.700 0.492
F 0.774 0.181 0.796
F 0.774 0.774 0.923
F 0.819 0.226 0.204
F 0.999 0.608 0.306



[10]
Material: ZnFeF4
Method: DFT, GGA+U
State: relaxed

Summary:
SG = Ibam
Calculated total energy = -4.699 eV per atom
Density = 4.68 Mg/m³
Polymorph energy (0 for the lowest one) = 0.536 eV/f.u.

Cell lengths 6.361, 6.361, 6.361 Å; angles 133.05, 130.61, 70.52 degrees
Fractional coordinates of all 12 atoms:
Zn 0.250 0.250 0.000
Zn 0.750 0.750 0.000
Fe 0.000 0.500 0.500
Fe 0.500 0.000 0.500
F 0.054 0.113 0.419
F 0.193 0.613 0.059
F 0.307 0.366 0.419
F 0.446 0.866 0.059
F 0.554 0.134 0.941
F 0.693 0.634 0.581
F 0.807 0.387 0.941
F 0.946 0.887 0.581



[11]
Material: ZnFe2F6
Method: DFT, GGA+U
State: relaxed

Summary:
SG = P4_2/mnm
Calculated total energy = -5.057 eV per atom
Density = 4.28 Mg/m³
Polymorph energy (0 for the lowest one) = 0.000 eV/f.u.

Cell lengths 4.794, 4.794, 9.836 Å; angles 90.00, 90.00, 90.00 degrees
Fractional coordinates of all 18 atoms:
Zn 0.000 0.000 0.000
Zn 0.500 0.500 0.500
Fe 0.000 0.000 0.334
Fe 0.000 0.000 0.666
Fe 0.500 0.500 0.166
Fe 0.500 0.500 0.834
F 0.198 0.198 0.164
F 0.198 0.198 0.836
F 0.201 0.201 0.500
F 0.299 0.701 0.000
F 0.302 0.698 0.336
F 0.302 0.698 0.664
F 0.698 0.302 0.336
F 0.698 0.302 0.664
F 0.701 0.299 0.000
F 0.799 0.799 0.500
F 0.802 0.802 0.164
F 0.802 0.802 0.836



[12]
Material: ZrFeF2
Method: DFT, GGA+U
State: relaxed

Summary:
SG = R-3m
Calculated total energy = -5.976 eV per atom
Density = 5.12 Mg/m³
Polymorph energy (0 for the lowest one) = 0.000 eV/f.u.

Cell lengths 8.268, 8.268, 8.268 Å; angles 20.38, 20.38, 20.38 degrees
Fractional coordinates of all 4 atoms:
Zr 0.000 0.000 0.000
Fe 0.500 0.500 0.500
F 0.399 0.399 0.399
F 0.601 0.601 0.601